1.
VASP calculation (PBE-GGA) on a relaxed structure of K2LaMn.

abc: 7.534 7.534 3.507
angles: 90.00 90.00 125.88
Element x y z (fractional)
K 0.000 0.000 0.000
K 0.500 0.500 0.000
La 0.500 0.000 0.500
Mn 0.000 0.500 0.500

Properties
energy relative to the lowest polymorph listed for this composition	9.19	kcal/mol of atoms
calculated volume	40.32	Å³/atom
D(E_F)	1.27	states/eV/atom
SG	Cmmm (65)

***

2.
VASP calculation (PBE-GGA) on a relaxed structure of Ac5MgCo2.

abc: 4.317 7.711 9.177
angles: 114.84 103.60 90.00
Element x y z (fractional)
Ac 0.000 0.500 0.000
Ac 0.654 0.400 0.308
Ac 0.346 0.600 0.692
Ac 0.654 0.909 0.308
Ac 0.346 0.091 0.692
Mg 0.000 0.000 0.000
Co 0.185 0.685 0.369
Co 0.815 0.315 0.631

Properties
calculated volume	33.47	Å³/atom
VASP energy	-4.52	eV/atom
D(E_F)	0.90	states/eV/atom
SG	Immm (71)

***

3.
VASP calculation (PBE-GGA) on a relaxed structure of Cr4TcSb.

abc: 4.853 4.853 4.853
angles: 60.00 60.00 60.00
Element x y z (fractional)
Cr 0.869 0.377 0.377
Cr 0.377 0.377 0.869
Cr 0.377 0.869 0.377
Cr 0.377 0.377 0.377
Tc 0.000 0.000 0.000
Sb 0.750 0.750 0.750

Properties
calculated volume	13.47	Å³/atom
D(E_F)	1.34	states/eV/atom
SG	F-43m (216)
formation energy from raw total energies	0.223	eV per atom

***

4.
VASP calculation (PBE-GGA) on a relaxed structure of ThBiRh6.

abc: 4.104 5.772 5.772
angles: 89.99 90.00 90.00
Element x y z (fractional)
Th 0.500 0.000 0.000
Bi 0.500 0.500 0.500
Rh 0.000 0.747 0.253
Rh 0.000 0.253 0.747
Rh 0.000 0.747 0.747
Rh 0.000 0.253 0.253
Rh 0.500 0.500 0.000
Rh 0.500 0.000 0.500

Properties
calculated volume	17.09	Å³/atom
VASP energy	-7.27	eV/atom
D(E_F)	0.70	states/eV/atom
SG	P4/mmm (123)

***

5.
VASP calculation (PBE-GGA) on a relaxed structure of TiInAu.

abc: 4.074 4.074 7.225
angles: 90.00 90.00 90.00
Element x y z (fractional)
Ti 0.000 0.500 0.152
Ti 0.500 0.000 0.848
Au 0.000 0.500 0.798
Au 0.500 0.000 0.202
In 0.000 0.000 0.500
In 0.500 0.500 0.500

Properties
calculated volume	19.99	Å³/atom
VASP energy	-4.71	eV/atom
D(E_F)	0.91	states/eV/atom
SG	P4/nmm (129)

***

6.
VASP calculation (PBE-GGA) on a relaxed structure of Na3USn2Te6.

abc: 7.891 7.891 7.799
angles: 99.75 99.75 120.04
Element x y z (fractional)
Na 0.174 0.826 0.500
Na 0.826 0.174 0.500
Na 0.500 0.500 0.500
U 0.000 0.000 0.000
Sn 0.335 0.665 0.000
Sn 0.665 0.335 0.000
Te 0.923 0.606 0.770
Te 0.761 0.761 0.230
Te 0.077 0.394 0.230
Te 0.606 0.923 0.770
Te 0.239 0.239 0.770
Te 0.394 0.077 0.230

Properties
calculated volume	32.96	Å³/atom
D(E_F)	0.03	states/eV/atom
SG	C2/m (12)
formation energy from raw total energies	-0.659	eV per atom

***

7.
VASP calculation (PBE-GGA) on a relaxed structure of MnC3.

abc: 3.026 3.027 3.818
angles: 90.00 90.00 90.00
Element x y z (fractional)
C 0.500 0.500 0.826
C 0.000 0.000 0.500
C 0.500 0.500 0.174
Mn 0.000 0.000 0.000

Properties
energy relative to the lowest polymorph listed for this composition	28.80	kcal/mol of atoms
calculated volume	8.74	Å³/atom
D(E_F)	0.38	states/eV/atom
SG	P4/mmm (123)

***

8.
VASP calculation (PBE-GGA) on a relaxed structure of NaZn2CoH8.

abc: 4.236 4.234 6.599
angles: 88.62 88.68 62.92
Element x y z (fractional)
Na 0.000 0.000 0.500
Zn 0.336 0.335 0.835
Zn 0.664 0.665 0.165
Co 0.000 0.000 0.000
H 0.191 0.727 0.168
H 0.800 0.802 0.927
H 0.729 0.192 0.168
H 0.809 0.273 0.832
H 0.200 0.198 0.073
H 0.271 0.808 0.832
H 0.675 0.675 0.410
H 0.325 0.325 0.590

Properties
calculated volume	8.78	Å³/atom
VASP energy	-3.17	eV/atom
SG	C2/m (12)